Arrangement 1

MgNbAs | PBE | optimized geometry

Summary:
M_tot   0.00 μB per formula unit
Crystal system   tetragonal

a = 3.3482 Å, b = 3.3482 Å, c = 9.9417 Å
α = 90.00°, β = 90.00°, γ = 90.00°
With the nearest neighbours (Å) after each atom.
Space group I4mm (No. 107)
Unique sites:
Mg1 0.0000 0.0000 0.0000 (multiplicity 2)  5 As 2.99-3.15, 5 Nb 3.04-3.06
Nb1 0.0000 0.0000 0.6944 (multiplicity 2)  4 As 2.66
As1 0.0000 0.0000 0.3164 (multiplicity 2)  4 Nb 2.66

***

Arrangement 2

MgNbAs | PBE | optimized geometry

Summary:
M_tot   0.00 μB per formula unit
Crystal system   trigonal

a = 3.5174 Å, b = 3.5174 Å, c = 16.6636 Å
α = 90.00°, β = 90.00°, γ = 120.00°
With the nearest neighbours (Å) after each atom.
Space group R3m (No. 160, hexagonal axes)
Unique sites:
Mg1 0.0000 0.0000 0.0000 (multiplicity 3)  3 As 2.70, 3 Nb 3.00
Nb1 0.0000 0.0000 0.2007 (multiplicity 3)  3 As 2.56
As1 0.0000 0.0000 0.4403 (multiplicity 3)  3 Nb 2.56, 3 Mg 2.70

***

Most stable: arrangement 1

***

Arrangement 1

MgNbAs | PBE | optimized geometry

Summary:
M_tot   0.00 μB per formula unit
Crystal system   monoclinic

a = 5.8443 Å, b = 3.3711 Å, c = 12.3989 Å
α = 90.00°, β = 98.87°, γ = 90.00°
With the nearest neighbours (Å) after each atom.
Space group Cm (No. 8)
Unique sites:
Mg1 0.0000 0.0000 0.0000 (multiplicity 2)  3 As 2.79-2.80
Mg2 0.2395 0.5000 0.2115 (multiplicity 2)  3 Nb 3.08, 9 Mg 3.23-3.37
Nb1 0.0642 0.5000 0.6930 (multiplicity 2)  6 As 2.62-2.68
Nb2 0.4702 0.0000 0.4064 (multiplicity 2)  3 As 2.57
As1 0.2776 0.0000 0.8358 (multiplicity 2)  3 Nb 2.62, 3 Mg 2.79-2.80
As2 0.3480 0.5000 0.5434 (multiplicity 2)  6 Nb 2.57-2.68

***

Arrangement 2

MgNbAs | PBE | optimized geometry

Summary:
M_tot   0.00 μB per formula unit
Crystal system   tetragonal

a = 4.1033 Å, b = 4.1033 Å, c = 6.8242 Å
α = 90.00°, β = 90.00°, γ = 90.00°
With the nearest neighbours (Å) after each atom.
Space group P4/nmm (No. 129, origin choice 2)
Unique sites:
Mg1 0.2500 0.2500 0.1629 (multiplicity 2)  5 As 2.69-2.94
Nb1 0.2500 0.7500 0.5000 (multiplicity 2)  4 As 2.75, 4 Nb 2.90, 4 Mg 3.08
As1 0.2500 0.2500 0.7691 (multiplicity 2)  5 Mg 2.69-2.94, 4 Nb 2.75

***

Most stable: arrangement 2

***

Arrangement 1

Mg3NbAs | PBE | optimized geometry

Summary:
M_tot   2.38 μB per formula unit
Crystal system   cubic

a = 5.3300 Å, b = 5.3300 Å, c = 5.3300 Å
α = 90.00°, β = 90.00°, γ = 90.00°
With the nearest neighbours (Å) after each atom.
Space group Pm-3m (No. 221)
Unique sites:
Mg1 0.0000 0.0000 0.5000 (multiplicity 3)  2 Nb 2.67
Nb1 0.0000 0.0000 0.0000 (multiplicity 1)  6 Mg 2.67
As1 0.5000 0.5000 0.5000 (multiplicity 1)  12 Mg 3.77

***

Arrangement 2

Mg3NbAs | PBE | optimized geometry

Summary:
M_tot   3.15 μB per formula unit
Crystal system   cubic

a = 4.9912 Å, b = 4.9912 Å, c = 4.9912 Å
α = 90.00°, β = 90.00°, γ = 90.00°
With the nearest neighbours (Å) after each atom.
Space group Pm-3m (No. 221)
Unique sites:
Mg1 0.0000 0.0000 0.5000 (multiplicity 3)  2 As 2.50
Nb1 0.5000 0.5000 0.5000 (multiplicity 1)  12 Mg 3.53
As1 0.0000 0.0000 0.0000 (multiplicity 1)  6 Mg 2.50

***

Most stable: arrangement 2

***

Arrangement 1

MgNb2As | PBE | optimized geometry

Summary:
M_tot   0.00 μB per formula unit
Crystal system   cubic

a = 6.5378 Å, b = 6.5378 Å, c = 6.5378 Å
α = 90.00°, β = 90.00°, γ = 90.00°
With the nearest neighbours (Å) after each atom.
Space group Fm-3m (No. 225)
Unique sites:
Mg1 0.0000 0.0000 0.0000 (multiplicity 4)  8 Nb 2.83
Nb1 0.2500 0.2500 0.2500 (multiplicity 8)  4 As 2.83, 4 Mg 2.83
As1 0.0000 0.0000 0.5000 (multiplicity 4)  8 Nb 2.83

***

Arrangement 2

MgNb2As | PBE | optimized geometry

Summary:
M_tot   0.00 μB per formula unit
Crystal system   tetragonal

a = 3.9064 Å, b = 3.9064 Å, c = 20.0258 Å
α = 90.00°, β = 90.00°, γ = 90.00°
With the nearest neighbours (Å) after each atom.
Space group I-42d (No. 122)
Unique sites:
Mg1 0.0000 0.0000 0.0000 (multiplicity 4)  4 As 2.76, 4 Nb 2.87
Nb1 0.2413 0.2500 0.6250 (multiplicity 8)  4 Nb 2.71-2.81, 2 As 2.85, 2 Mg 2.87
As1 0.0000 0.0000 0.5000 (multiplicity 4)  4 Mg 2.76, 4 Nb 2.85

***

Most stable: arrangement 2

***

Arrangement 1

MgNbAs3 | PBE | optimized geometry

Summary:
M_tot   0.00 μB per formula unit
Crystal system   cubic

a = 5.0226 Å, b = 5.0226 Å, c = 5.0226 Å
α = 90.00°, β = 90.00°, γ = 90.00°
With the nearest neighbours (Å) after each atom.
Space group Pm-3m (No. 221)
Unique sites:
Mg1 0.0000 0.0000 0.0000 (multiplicity 1)  12 As 3.55
Nb1 0.5000 0.5000 0.5000 (multiplicity 1)  6 As 2.51
As1 0.0000 0.5000 0.5000 (multiplicity 3)  2 Nb 2.51

***

Arrangement 2

MgNbAs3 | PBE | optimized geometry

Summary:
M_tot   0.00 μB per formula unit
Crystal system   cubic

a = 4.8135 Å, b = 4.8135 Å, c = 4.8135 Å
α = 90.00°, β = 90.00°, γ = 90.00°
With the nearest neighbours (Å) after each atom.
Space group Pm-3m (No. 221)
Unique sites:
Mg1 0.0000 0.0000 0.0000 (multiplicity 1)  6 As 2.41
Nb1 0.5000 0.5000 0.5000 (multiplicity 1)  12 As 3.40
As1 0.0000 0.0000 0.5000 (multiplicity 3)  2 Mg 2.41

***

Most stable: arrangement 1

***

Arrangement 1

MgNb2As2 | PBE | optimized geometry

Summary:
M_tot   0.00 μB per formula unit
Crystal system   tetragonal

a = 7.2228 Å, b = 7.2228 Å, c = 3.3602 Å
α = 90.00°, β = 90.00°, γ = 90.00°
With the nearest neighbours (Å) after each atom.
Space group P4/mbm (No. 127)
Unique sites:
Mg1 0.0000 0.0000 0.0000 (multiplicity 2)  4 As 2.77
Nb1 0.1485 0.3515 0.5000 (multiplicity 4)  6 As 2.69-2.71
As1 0.1459 0.6459 0.0000 (multiplicity 4)  6 Nb 2.69-2.71, 2 Mg 2.77, 1 As 2.98

***

Arrangement 2

MgNb2As2 | PBE | optimized geometry

Summary:
M_tot   0.00 μB per formula unit
Crystal system   tetragonal

a = 7.3847 Å, b = 7.3847 Å, c = 3.3434 Å
α = 90.00°, β = 90.00°, γ = 90.00°
With the nearest neighbours (Å) after each atom.
Space group P4/mbm (No. 127)
Unique sites:
Mg1 0.0000 0.0000 0.0000 (multiplicity 2)  4 Nb 2.85
Nb1 0.1405 0.3595 0.0000 (multiplicity 4)  6 As 2.73-2.74, 2 Mg 2.85, 1 Nb 2.94
As1 0.1514 0.6514 0.5000 (multiplicity 4)  6 Nb 2.73-2.74

***

Most stable: arrangement 1